# PBE with a Hubbard U CrPC5Br3O5, relaxed
data_CrPC5Br3O5
_cell_length_a 7.1159
_cell_length_b 7.1745
_cell_length_c 14.3880
_cell_angle_alpha 88.42
_cell_angle_beta 87.27
_cell_angle_gamma 87.56
_symmetry_space_group_name_H-M 'P -1'
_symmetry_Int_Tables_number 2
loop_
_symmetry_equiv_pos_as_xyz
'x,y,z'
'-x,-y,-z'
loop_
_atom_site_label
_atom_site_type_symbol
_atom_site_fract_x
_atom_site_fract_y
_atom_site_fract_z
Cr1 Cr 0.2205 0.2807 0.1743
P1 P 0.3179 0.3119 0.3248
C1 C 0.0114 0.5866 0.7922
C2 C 0.1122 0.0497 0.2137
C3 C 0.1268 0.2529 0.0540
C4 C 0.3311 0.5085 0.1316
C5 C 0.4525 0.1534 0.1349
Br1 Br 0.1059 0.2444 0.4402
Br2 Br 0.4012 0.5922 0.3676
Br3 Br 0.4360 0.8690 0.6306
O1 O 0.0453 0.9104 0.2369
O2 O 0.0654 0.2381 0.9814
O3 O 0.1540 0.5080 0.7751
O4 O 0.3988 0.6439 0.1030
O5 O 0.4069 0.9194 0.8908
# Size of the total moment ... 0.06 μB per formula unit
# Energy ... -0.235 hartree per atom